Compound: CsBaBi
Source: the Alexandria database
Functional: GGA-PBEsol
Structure: optimized geometry

Structure (extended XYZ):
```
12
Lattice="9.793 0.000 0.000 0.000 5.858 0.000 0.000 0.000 10.178" Properties=species:S:1:pos:R:3 pbc="T T T"
Cs 0.098 1.465 1.779
Cs 4.799 4.394 6.868
Cs 4.994 1.465 3.310
Cs 9.696 4.394 8.399
Ba 1.493 1.465 5.941
Ba 3.404 4.394 0.852
Ba 6.389 1.465 9.326
Ba 8.301 4.394 4.237
Bi 2.021 4.394 4.064
Bi 2.875 1.465 9.153
Bi 6.918 4.394 1.025
Bi 7.772 1.465 6.114
```

Results
- Calculated volume: 48.66 A^3/atom
- Size of the total moment: 0.0 μB per cell
- Formation energy from the elements: -718 meV/atom

Compound: Ba2Cu2Bi
Source: the Alexandria database
Functional: GGA-PBEsol
Structure: optimized geometry

Structure (extended XYZ):
```
5
Lattice="-3.070 3.070 4.024 3.070 -3.070 4.024 3.070 3.070 -4.024" Properties=species:S:1:pos:R:3 pbc="T T T"
Ba 3.070 0.000 2.012
Ba 0.000 3.070 2.012
Cu 0.000 0.000 1.155
Cu 0.000 0.000 6.893
Bi 0.000 0.000 4.024
```

Results
- Calculated volume: 30.34 A^3/atom
- Size of the total moment: 0.0 μB per cell
- Formation energy from the elements: -155 meV/atom
- Fermi-level density of states: 3.012 states/eV per cell